1.
This record from Alexandria via LeMat-Bulk describes crystalline LaTb14Zr at its relaxed geometry. The functional is GGA-PBE.

The structure in POSCAR format:
```
LaTb14Zr
1.0
-2.5408 -2.0470 6.3102
-3.2245 -5.5241 -3.0904
8.1487 -5.5795 1.4711
Tb La Zr
14 1 1
Direct
0.6312 0.8812 0.2461
0.1188 0.8812 0.2461
0.1188 0.3688 0.2461
0.3751 0.1251 0.0000
0.3750 0.1250 0.5000
0.3750 0.6250 0.5000
0.6312 0.3688 0.7539
0.8750 0.6250 0.5000
0.6312 0.8812 0.7539
0.6312 0.3688 0.2461
0.8750 0.1250 0.5000
0.1188 0.8812 0.7539
0.1188 0.3688 0.7539
0.8749 0.6249 0.0000
0.3750 0.6250 0.0000
0.8750 0.1250 0.0000
```

**Space-group type**: No. 123
**Formation enthalpy at 0 K**: 0.040 eV per atom
**DOS at the Fermi energy**: 21.357 states/eV/cell

2.
This record from Alexandria via LeMat-Bulk describes crystalline La14TbZr at its relaxed geometry. The functional is GGA-PBE.

The structure in POSCAR format:
```
La14TbZr
1.0
7.2595 0.9810 0.0000
-0.9672 7.2614 0.0000
0.0000 0.0000 10.4450
La Tb Zr
14 1 1
Direct
0.8747 0.6247 0.0000
0.6168 0.8668 0.2418
0.6169 0.3831 0.7579
0.1332 0.3832 0.7582
0.8753 0.6253 0.5000
0.3747 0.1247 0.5000
0.1332 0.8668 0.7586
0.1332 0.3832 0.2418
0.8749 0.1251 0.5000
0.3753 0.1253 0.0000
0.3749 0.6251 0.5000
0.1332 0.8668 0.2414
0.6168 0.8668 0.7582
0.6169 0.3831 0.2421
0.8749 0.1251 0.0000
0.3752 0.6248 0.0000
```

**Space-group type**: No. 65
**Formation enthalpy at 0 K**: 0.042 eV per atom
**DOS at the Fermi energy**: 26.950 states/eV/cell